This record from Alexandria describes a geometry-optimized Er3Mg4Cd structure. The functional is PBE-GGA.

Lattice parameters (Å, degrees): 5.063 7.914 10.124 90.00 90.00 90.00
Element x y z (fractional)
Mg (0.500, 0.736, 0.000)
Mg (0.500, 0.736, 0.500)
Mg (0.500, 0.264, 0.000)
Mg (0.500, 0.264, 0.500)
Mg (0.000, 0.736, 0.750)
Mg (0.000, 0.736, 0.250)
Mg (0.000, 0.264, 0.250)
Mg (0.000, 0.264, 0.750)
Cd (0.000, 0.500, 0.000)
Cd (0.000, 0.500, 0.500)
Er (0.000, 0.000, 0.000)
Er (0.000, 0.000, 0.500)
Er (0.500, 0.000, 0.750)
Er (0.500, 0.000, 0.250)
Er (0.500, 0.500, 0.750)
Er (0.500, 0.500, 0.250)

Theoretical density ... 5.824 g/cm3
Calculated formation energy ... -71 meV per atom
Symmetry ... P4/mmm (123)